The following is a DFT calculation (PBE) of an optimized crystal structure of CaSmMg2.

a b c (Å): 3.5679 3.5679 33.6051
angles (deg): 90.00 90.00 120.00
Space group R3m (No. 160, hexagonal axes)
Unique sites:
Ca 0.0000 0.0000 0.0000
Sm 0.0000 0.0000 0.8322
Mg 0.0000 0.0000 0.4172
Mg 0.0000 0.0000 0.5819

Output
Formation enthalpy at 0 K (eV/f.u.): 0.25
D(E_F) (states/eV per atom): 1.03
Crystal system: trigonal
Magnetization (μB/f.u.): 0.0



The following is a DFT calculation (PBE) of an optimized crystal structure of CaSm4Mg5.

a b c (Å): 3.875 3.875 19.361
angles (deg): 90.00 90.00 90.00
Space group P4/mmm (No. 123)
Unique sites:
Ca 0.000 0.000 0.000
Sm 0.000 0.000 0.206
Sm 0.000 0.000 0.401
Mg 0.500 0.500 0.107
Mg 0.500 0.500 0.303
Mg 0.500 0.500 0.500

Output
Formation enthalpy at 0 K (eV/f.u.): -0.96
D(E_F) (states/eV per atom): 1.03
Crystal system: tetragonal
Magnetization (μB/f.u.): 0.0